A plane-wave DFT calculation with PBE+U was carried out for a geometry-optimized HoMgCo2O6 structure.

Computed properties:
The total DFT energy (no corrections) is -129.251 eV for the cell shown. For the density, the calculation gives 6.58 Mg/m³.

Lattice parameters (Å, degrees): 5.1150 5.4201 8.9336 90.00 124.78 90.00
Space group Pc (No. 7)
Symmetry-distinct sites (fractional):
Ho (0.0000, 0.1781, 0.0000) [2 per cell]
Mg (0.4603, 0.3161, 0.5027) [2 per cell]
Co (0.2312, 0.2541, 0.7504) [2 per cell]
Co (0.7321, 0.2612, 0.2529) [2 per cell]
O (0.1109, 0.0573, 0.3095) [2 per cell]
O (0.3594, 0.4628, 0.1857) [2 per cell]
O (0.4798, 0.0659, 0.6936) [2 per cell]
O (0.5803, 0.2998, 0.9972) [2 per cell]
O (0.8554, 0.2191, 0.5021) [2 per cell]
O (0.9929, 0.4458, 0.8058) [2 per cell]